(1)
# LaAl2Si2, relaxed, DFT PBE-GGA
data_LaAl2Si2
_cell_length_a 7.575
_cell_length_b 7.575
_cell_length_c 3.570
_cell_angle_alpha 90.00
_cell_angle_beta 90.00
_cell_angle_gamma 90.00
_space_group_name_H-M_alt 'P 4/m b m'
_space_group_IT_number 127
_space_group_name_Hall '-P 4 2ab'
loop_
_atom_site_label
_atom_site_fract_x
_atom_site_fract_y
_atom_site_fract_z
_atom_site_occupancy
La1 0.000 0.000 0.000 1
Al1 0.148 0.352 0.500 1
Si1 0.117 0.617 0.000 1
# ΔE_f (raw), eV per atom: -0.13
# Total DFT energy (no corrections), eV per atom: -4.786

---

(2)
# TaIr2Pt, relaxed, DFT PBE-GGA
data_TaIr2Pt
_cell_length_a 6.325
_cell_length_b 6.325
_cell_length_c 6.325
_cell_angle_alpha 90.00
_cell_angle_beta 90.00
_cell_angle_gamma 90.00
_space_group_name_H-M_alt 'F m -3 m'
_space_group_IT_number 225
_space_group_name_Hall '-F 4 2 3'
loop_
_atom_site_label
_atom_site_fract_x
_atom_site_fract_y
_atom_site_fract_z
_atom_site_occupancy
Ta1 0.000 0.000 0.000 1
Ir1 0.250 0.250 0.250 1
Pt1 0.000 0.000 0.500 1
# DFT formation energy, eV/atom: -0.227
# Total DFT energy (no corrections), eV per atom: -9.131
# Energy above the lowest structure with this stoichiometry, meV/atom: 420

---

(3)
# CaPr3Co, relaxed, DFT PBE-GGA
data_CaPr3Co
_cell_length_a 14.522
_cell_length_b 3.812
_cell_length_c 11.539
_cell_angle_alpha 90.00
_cell_angle_beta 92.48
_cell_angle_gamma 90.00
_space_group_name_H-M_alt 'C 1 2/m 1'
_space_group_IT_number 12
_space_group_name_Hall '-C 2y'
loop_
_atom_site_label
_atom_site_fract_x
_atom_site_fract_y
_atom_site_fract_z
_atom_site_occupancy
Ca1 0.167 0.000 0.093 1
Pr1 0.060 0.500 0.834 1
Pr2 0.067 0.000 0.380 1
Pr3 0.210 0.000 0.643 1
Co1 0.079 0.500 0.577 1
# DFT formation energy, eV/atom: 0.009
# Total DFT energy (no corrections), eV per atom: -4.680
# Energy above the lowest structure with this stoichiometry, meV/atom: 10

---

(4)
# KLaSb2, relaxed, DFT PBE-GGA
data_KLaSb2
_cell_length_a 7.672
_cell_length_b 9.216
_cell_length_c 3.541
_cell_angle_alpha 90.00
_cell_angle_beta 90.67
_cell_angle_gamma 90.00
_space_group_name_H-M_alt 'C 1 2/m 1'
_space_group_IT_number 12
_space_group_name_Hall '-C 2y'
loop_
_atom_site_label
_atom_site_fract_x
_atom_site_fract_y
_atom_site_fract_z
_atom_site_occupancy
K1 0.000 0.000 0.000 1
La1 0.000 0.500 0.000 1
Sb1 0.250 0.250 0.500 1
# ΔE_f (raw), eV per atom: -0.62
# Total DFT energy (no corrections), eV per atom: -4.184
# Energy above the lowest structure with this stoichiometry, meV/atom: 132

---

(5)
# LaReHRh, relaxed, DFT PBE-GGA
data_LaReHRh
_cell_length_a 4.2072
_cell_length_b 4.2072
_cell_length_c 4.6639
_cell_angle_alpha 90.00
_cell_angle_beta 90.00
_cell_angle_gamma 120.00
_space_group_name_H-M_alt 'P 3 m 1'
_space_group_IT_number 156
_space_group_name_Hall 'P 3 -2"'
loop_
_atom_site_label
_atom_site_fract_x
_atom_site_fract_y
_atom_site_fract_z
_atom_site_occupancy
La1 0.0000 0.0000 0.0000 1
Re1 0.6667 0.3333 0.5633 1
H1 0.6667 0.3333 0.9374 1
Rh1 0.3333 0.6667 0.4587 1
# Total DFT energy (no corrections), eV per atom: -7.134
# Energy above the lowest structure with this stoichiometry, meV/atom: 0

---

(6)
# LiSeBr2O, relaxed, DFT PBE-GGA
data_LiSeBr2O
_cell_length_a 4.671
_cell_length_b 4.671
_cell_length_c 4.955
_cell_angle_alpha 90.00
_cell_angle_beta 90.00
_cell_angle_gamma 90.00
_space_group_name_H-M_alt 'P 4/m m m'
_space_group_IT_number 123
_space_group_name_Hall '-P 4 2'
loop_
_atom_site_label
_atom_site_fract_x
_atom_site_fract_y
_atom_site_fract_z
_atom_site_occupancy
Li1 0.000 0.000 0.000 1
Se1 0.000 0.000 0.500 1
Br1 0.000 0.500 0.000 1
O1 0.500 0.500 0.500 1
# ΔE_f (raw), eV per atom: 0.67
# Total DFT energy (no corrections), eV per atom: -2.071
# Energy above the lowest structure with this stoichiometry, meV/atom: 658